Li2Mn2O3 (PBE+U, relaxed); magnetization = 10.0 μB per formula unit; calculated total energy = -45.38 eV for the cell shown; calculated density = 3571 kg/m3; excess energy over the best structure of this formula in the dataset = 0 meV per atom; space group = C2/m, No. 12
1.0
5.1952 -1.5550 0.0000
5.1952 1.5550 0.0000
-1.8316 0.0000 4.9427
Li Mn O
2 2 3
direct
0.1732 0.1732 0.3389
0.8268 0.8268 0.6611
0.3837 0.3837 0.1261
0.6163 0.6163 0.8739
0.0000 0.0000 0.0000
0.2160 0.2160 0.7273
0.7840 0.7840 0.2727